BaFe3Sn | PBE | optimized geometry

Cell: 4.9544 4.9544 4.9544 Å, 90.00 90.00 90.00°
Last column: nearest neighbours and their distance in Å.
Positions (direct):
Ba (0.0000, 0.0000, 0.0000)  12 Fe 3.50
Fe (0.0000, 0.5000, 0.5000)  2 Sn 2.48
Fe (0.5000, 0.0000, 0.5000)  2 Sn 2.48
Fe (0.5000, 0.5000, 0.0000)  2 Sn 2.48
Sn (0.5000, 0.5000, 0.5000)  6 Fe 2.48

## Properties
- offset from the most stable computed form (meV per atom) = 0.0
- crystal system = cubic
- E (eV/atom) = -5.37
- total magnetization (μB/f.u.) = 8.0
- formation energy from the elements (meV per atom) = 889